DFT (PBE) results for a relaxed YScHg crystal.

For the density of states at the Fermi level, the calculation gives 8.0 states/eV per cell. Its distance to the lowest polymorph of the same formula is 0.0880 eV/atom. The calculation puts the formation enthalpy at 0 K at -0.81 eV/f.u. The electronic total energy comes out at -4.636 eV/atom. As for the space group: P-1, No. 2.

Cell and atoms, written as CIF:
```
data_YScHg
_chemical_formula_sum 'Y2 Sc2 Hg2'
_cell_length_a 5.071
_cell_length_b 6.279
_cell_length_c 6.264
_cell_angle_alpha 99.56
_cell_angle_beta 66.45
_cell_angle_gamma 66.22
_symmetry_space_group_name_H-M 'P 1'
_symmetry_Int_Tables_number 1
loop_
_symmetry_equiv_pos_as_xyz
'x,y,z'
loop_
_atom_site_label
_atom_site_type_symbol
_atom_site_fract_x
_atom_site_fract_y
_atom_site_fract_z
Y1 Y 0.875 0.758 0.379
Y2 Y 0.059 0.904 0.862
Hg1 Hg 0.547 0.405 0.392
Hg2 Hg 0.387 0.257 0.849
Sc1 Sc 0.224 0.128 0.315
Sc2 Sc 0.711 0.535 0.926
```